Entry from Alexandria via LeMat-Bulk: an optimized crystal structure of Na3Sn2Sb4 (PBE).

Cell: 6.932 9.093 9.093 Å, 75.36 95.81 95.81°
Fractional positions:
Na  0.597  0.688  0.020
Sn  0.357  0.147  0.362
Na  0.250  0.419  0.581
Na  0.750  0.581  0.419
Sb  0.242  0.784  0.529
Na  0.403  0.312  0.980
Sb  0.742  0.529  0.784
Sb  0.942  0.166  0.937
Sn  0.643  0.853  0.638
Sb  0.442  0.937  0.166
Na  0.903  0.980  0.312
Sb  0.258  0.471  0.216
Sb  0.558  0.063  0.834
Na  0.097  0.020  0.688
Sn  0.143  0.638  0.853
Sb  0.758  0.216  0.471
Sn  0.857  0.362  0.147
Sb  0.058  0.834  0.063

## Properties
The calculation puts the energy above the most stable polymorph in this dataset at 71 meV/atom. The crystal system is monoclinic.


Entry from Alexandria via LeMat-Bulk: an optimized crystal structure of Na3Sn2Sb4 (PBE).

Cell: 5.159 6.614 8.887 Å, 112.00 106.87 90.00°
Fractional positions:
Na  0.116  0.592  0.233
Sb  0.511  0.292  0.021
Sb  0.222  0.256  0.445
Sn  0.330  0.996  0.660
Na  0.000  0.000  0.000
Sb  0.778  0.744  0.555
Sn  0.670  0.004  0.340
Sb  0.489  0.708  0.979
Na  0.884  0.408  0.767

## Properties
The calculation puts the energy above the most stable polymorph in this dataset at 0 meV/atom. The crystal system is monoclinic.


Entry from Alexandria via LeMat-Bulk: an optimized crystal structure of Na5SnSb4 (PBE).

Cell: 3.276 3.276 24.439 Å, 90.00 90.00 90.00°
Fractional positions:
Na  0.500  0.500  0.104
Sn  0.000  0.000  0.000
Na  0.500  0.500  0.500
Na  0.500  0.500  0.698
Sb  0.000  0.000  0.599
Na  0.500  0.500  0.896
Sb  0.000  0.000  0.401
Na  0.500  0.500  0.302
Sb  0.000  0.000  0.797
Sb  0.000  0.000  0.203

## Properties
The calculation puts the raw total energy at -2.99 eV/atom. The crystal system is tetragonal.


Entry from Alexandria via LeMat-Bulk: an optimized crystal structure of Na5SnSb3 (PBE).

Cell: 9.291 12.552 18.696 Å, 81.61 90.00 90.00°
Fractional positions:
Na  0.323  0.096  0.468
Sb  0.886  0.034  0.367
Na  0.442  0.373  0.486
Sb  0.140  0.014  0.119
Sb  0.586  0.856  0.215
Sb  0.360  0.514  0.119
Sb  0.132  0.682  0.294
Sb  0.640  0.486  0.881
Sb  0.125  0.330  0.454
Na  0.565  0.986  0.348
Sn  0.581  0.946  0.827
Na  0.681  0.224  0.870
Na  0.177  0.596  0.468
Sb  0.368  0.182  0.294
Na  0.558  0.627  0.514
Na  0.660  0.918  0.026
Na  0.173  0.945  0.301
Na  0.184  0.246  0.629
Sn  0.566  0.279  0.669
Na  0.823  0.404  0.532
Na  0.160  0.582  0.974
Sn  0.934  0.779  0.669
Na  0.340  0.082  0.974
Na  0.430  0.364  0.995
Sb  0.914  0.356  0.215
Sb  0.625  0.170  0.546
Na  0.154  0.904  0.805
Sb  0.391  0.838  0.934
Na  0.677  0.904  0.532
Na  0.435  0.014  0.652
Na  0.846  0.096  0.195
Sb  0.086  0.644  0.785
Na  0.931  0.824  0.180
Sb  0.609  0.162  0.066
Na  0.327  0.445  0.301
Na  0.827  0.055  0.699
Na  0.684  0.254  0.371
Sn  0.919  0.446  0.827
Na  0.654  0.596  0.195
Na  0.930  0.136  0.005
Na  0.181  0.276  0.130
Sn  0.434  0.721  0.331
Na  0.319  0.776  0.130
Sb  0.614  0.534  0.367
Na  0.065  0.514  0.652
Na  0.569  0.324  0.180
Sb  0.114  0.966  0.633
Sb  0.109  0.338  0.934
Sb  0.875  0.670  0.546
Sb  0.868  0.318  0.706
Sb  0.860  0.986  0.881
Na  0.840  0.418  0.026
Na  0.935  0.486  0.348
Na  0.816  0.754  0.371
Sn  0.066  0.221  0.331
Sb  0.386  0.466  0.633
Na  0.431  0.676  0.820
Sb  0.632  0.818  0.706
Na  0.570  0.636  0.005
Na  0.069  0.176  0.820
Na  0.346  0.404  0.805
Na  0.819  0.724  0.870
Na  0.316  0.746  0.629
Na  0.070  0.864  0.995
Sb  0.414  0.144  0.785
Sb  0.375  0.830  0.454
Na  0.673  0.555  0.699
Sn  0.081  0.554  0.173
Sn  0.419  0.054  0.173
Sb  0.891  0.662  0.066
Na  0.942  0.127  0.514
Na  0.058  0.873  0.486

## Properties
The calculation puts the energy above the most stable polymorph in this dataset at 0 meV/atom. The crystal system is monoclinic.


Entry from Alexandria via LeMat-Bulk: an optimized crystal structure of NaSn2Sb (PBE).

Cell: 4.103 4.103 6.851 Å, 90.00 90.00 90.00°
Fractional positions:
Sn  0.000  0.000  0.784
Sn  0.000  0.000  0.216
Na  0.500  0.500  0.500
Sb  0.500  0.500  0.000

## Properties
The calculation puts the raw total energy at -3.42 eV/atom. The crystal system is tetragonal.


Entry from Alexandria via LeMat-Bulk: an optimized crystal structure of Na5SnSb3 (PBE).

Cell: 7.301 8.899 10.429 Å, 106.91 90.00 114.22°
Fractional positions:
Sn  0.246  0.000  0.250
Na  0.913  0.328  0.570
Na  0.749  0.000  0.250
Na  0.910  0.333  0.091
Na  0.090  0.667  0.909
Sb  0.688  0.312  0.823
Sb  0.623  0.312  0.323
Sn  0.754  0.000  0.750
Na  0.251  0.000  0.750
Na  0.423  0.333  0.591
Sb  0.000  0.000  0.000
Sb  0.377  0.688  0.677
Na  0.577  0.667  0.409
Sb  0.312  0.688  0.177
Na  0.087  0.672  0.430
Sb  0.000  0.000  0.500
Na  0.585  0.672  0.930
Na  0.415  0.328  0.070

## Properties
The calculation puts the energy above the most stable polymorph in this dataset at 68 meV/atom. The crystal system is monoclinic.


Entry from Alexandria via LeMat-Bulk: an optimized crystal structure of NaSn2Sb (PBE).

Cell: 5.074 4.619 4.619 Å, 90.00 90.00 90.00°
Fractional positions:
Sb  0.500  0.500  0.500
Na  0.500  0.000  0.000
Sn  0.000  0.000  0.500
Sn  0.000  0.500  0.000

## Properties
The calculation puts the raw total energy at -3.48 eV/atom. The crystal system is tetragonal.


Entry from Alexandria via LeMat-Bulk: an optimized crystal structure of NaSn3Sb (PBE).

Cell: 5.418 5.418 5.418 Å, 90.00 90.00 90.00°
Fractional positions:
Na  0.000  0.000  0.000
Sn  0.500  0.000  0.000
Sb  0.500  0.500  0.500
Sn  0.000  0.000  0.500
Sn  0.000  0.500  0.000

## Properties
The calculation puts the energy above the most stable polymorph in this dataset at 197 meV/atom. The crystal system is cubic.